! RuRh2CCl PBE relaxed; values from VASP
! * total energy: -5.511 eV per atom
! * magnetic moment: 0.29 μB/atom
! * SG: P4/mmm (123)
! * formation energy from raw total energies: 1.499 eV per atom
&SYSTEM
  ibrav = 0, nat = 5, ntyp = 4
/
ATOMIC_SPECIES
Rh 102.91 Rh.upf
Cl 35.45 Cl.upf
Ru 101.07 Ru.upf
C 12.01 C.upf
CELL_PARAMETERS angstrom
-2.117 3.071 3.186
-2.287 -2.767 1.148
3.275 -1.289 3.417
ATOMIC_POSITIONS crystal
Rh 0.000 0.000 0.500
Rh 0.500 0.000 0.000
Cl 0.500 0.500 0.500
Ru 0.000 0.000 0.000
C 0.000 0.500 0.000


! Ni5Hg3 PBE relaxed; values from VASP
! * total energy: -3.475 eV per atom
! * magnetic moment: 0.06 μB/atom
! * SG: Cmmm (65)
! * formation energy from the elements: 24 kJ/mol of atoms
&SYSTEM
  ibrav = 0, nat = 8, ntyp = 2
/
ATOMIC_SPECIES
Hg 200.59 Hg.upf
Ni 58.69 Ni.upf
CELL_PARAMETERS angstrom
3.535 -4.093 0.000
3.535 4.093 0.000
0.000 0.000 4.030
ATOMIC_POSITIONS crystal
Hg 0.767 0.233 0.500
Hg 0.500 0.500 0.000
Hg 0.233 0.767 0.500
Ni 0.000 0.000 0.000
Ni 0.500 0.000 0.000
Ni 0.751 0.751 0.500
Ni 0.000 0.500 0.000
Ni 0.249 0.249 0.500


! Ge2BiBrF PBE relaxed; values from VASP
! * total energy: -3.186 eV per atom
! * magnetic moment: 0.00 μB/atom
! * SG: P4/mmm (123)
! * formation energy from raw total energies: 0.146 eV per atom
&SYSTEM
  ibrav = 0, nat = 5, ntyp = 4
/
ATOMIC_SPECIES
F 19.00 F.upf
Br 79.90 Br.upf
Bi 208.98 Bi.upf
Ge 72.64 Ge.upf
CELL_PARAMETERS angstrom
-1.448 2.701 -4.319
3.175 -2.056 -2.350
-3.420 -3.844 -1.257
ATOMIC_POSITIONS crystal
F 0.000 0.500 0.000
Br 0.000 0.000 0.000
Bi 0.500 0.500 0.500
Ge 0.500 0.000 0.000
Ge 0.000 0.000 0.500


! Fe2AgI2Br6 PBE relaxed; values from VASP
! * total energy: -3.317 eV per atom
! * magnetic moment: 0.82 μB/atom
! * SG: P-3 (147)
! * formation energy from raw total energies: -0.325 eV per atom
&SYSTEM
  ibrav = 0, nat = 11, ntyp = 4
/
ATOMIC_SPECIES
Fe 55.84 Fe.upf
Br 79.90 Br.upf
I 126.90 I.upf
Ag 107.87 Ag.upf
CELL_PARAMETERS angstrom
6.838 0.000 0.000
-3.419 5.922 0.000
0.000 0.000 10.146
ATOMIC_POSITIONS crystal
Fe 0.333 0.667 0.764
Fe 0.667 0.333 0.236
Br 0.337 0.007 0.167
Br 0.670 0.663 0.167
Br 0.007 0.670 0.833
Br 0.993 0.330 0.167
Br 0.663 0.993 0.833
Br 0.330 0.337 0.833
I 0.333 0.667 0.515
I 0.667 0.333 0.485
Ag 0.000 0.000 0.000


! Li2YRe PBE relaxed; values from VASP
! * excess energy over the best structure of this formula in the dataset: 0.27 kcal/mol of atoms
! * total energy: -5.284 eV per atom
! * magnetic moment: 0.00 μB/atom
! * SG: Immm (71)
! * formation energy from the elements: 39 kJ/mol of atoms
&SYSTEM
  ibrav = 0, nat = 4, ntyp = 3
/
ATOMIC_SPECIES
Y 88.91 Y.upf
Re 186.21 Re.upf
Li 6.94 Li.upf
CELL_PARAMETERS angstrom
6.089 0.004 -0.034
3.415 5.041 0.034
-4.159 -3.640 2.556
ATOMIC_POSITIONS crystal
Y 0.250 0.750 0.500
Re 0.750 0.250 0.500
Li 0.530 0.530 0.000
Li 0.970 0.970 0.000


! SbTe2PdPt PBE relaxed; values from VASP
! * excess energy over the best structure of this formula in the dataset: 0.00 kcal/mol of atoms
! * total energy: -3.743 eV per atom
! * magnetic moment: 0.00 μB/atom
! * SG: P4/mmm (123)
! * formation energy from raw total energies: 0.584 eV per atom
&SYSTEM
  ibrav = 0, nat = 5, ntyp = 4
/
ATOMIC_SPECIES
Sb 121.76 Sb.upf
Pt 195.08 Pt.upf
Te 127.60 Te.upf
Pd 106.42 Pd.upf
CELL_PARAMETERS angstrom
-3.491 3.329 -2.415
-1.043 -3.780 -3.705
-3.740 -1.815 2.905
ATOMIC_POSITIONS crystal
Sb 0.000 0.000 0.500
Pt 0.000 0.000 0.000
Te 0.000 0.500 0.000
Te 0.500 0.000 0.000
Pd 0.500 0.500 0.500


! ZrHgAu2 PBE relaxed; values from VASP
! * total energy: -4.073 eV per atom
! * magnetic moment: 0.00 μB/atom
! * SG: Pmm2 (25)
! * formation energy from the elements: -21 kJ/mol of atoms
&SYSTEM
  ibrav = 0, nat = 4, ntyp = 3
/
ATOMIC_SPECIES
Zr 91.22 Zr.upf
Au 196.97 Au.upf
Hg 200.59 Hg.upf
CELL_PARAMETERS angstrom
3.214 0.000 0.000
0.000 3.790 0.000
0.000 0.000 6.573
ATOMIC_POSITIONS crystal
Zr 0.500 0.500 0.770
Au 0.500 0.500 0.239
Au 0.000 0.000 0.000
Hg 0.000 0.000 0.490


! Mg2TlCl PBE relaxed; values from VASP
! * excess energy over the best structure of this formula in the dataset: 3.76 kcal/mol of atoms
! * total energy: -2.198 eV per atom
! * magnetic moment: 0.00 μB/atom
! * SG: I-42d (122)
! * formation energy from raw total energies: -0.348 eV per atom
&SYSTEM
  ibrav = 0, nat = 8, ntyp = 3
/
ATOMIC_SPECIES
Tl 204.38 Tl.upf
Mg 24.30 Mg.upf
Cl 35.45 Cl.upf
CELL_PARAMETERS angstrom
-3.009 7.312 0.709
-6.631 -2.374 -3.663
-6.122 1.654 1.407
ATOMIC_POSITIONS crystal
Tl 0.000 0.000 0.000
Tl 0.750 0.250 0.500
Mg 0.157 0.625 0.250
Mg 0.875 0.843 0.750
Mg 0.375 0.407 0.750
Mg 0.593 0.125 0.250
Cl 0.500 0.500 0.000
Cl 0.250 0.750 0.500


! NiAuBr2 PBE relaxed; values from VASP
! * excess energy over the best structure of this formula in the dataset: 13.16 kcal/mol of atoms
! * total energy: -2.539 eV per atom
! * magnetic moment: 0.26 μB/atom
! * SG: Fm-3m (225)
! * formation energy from raw total energies: 0.562 eV per atom
&SYSTEM
  ibrav = 0, nat = 4, ntyp = 3
/
ATOMIC_SPECIES
Ni 58.69 Ni.upf
Br 79.90 Br.upf
Au 196.97 Au.upf
CELL_PARAMETERS angstrom
0.000 3.457 3.457
3.457 0.000 3.457
3.457 3.457 0.000
ATOMIC_POSITIONS crystal
Ni 0.000 0.000 0.000
Br 0.750 0.750 0.750
Br 0.250 0.250 0.250
Au 0.500 0.500 0.500


! TeH3Au PBE relaxed; values from VASP
! * excess energy over the best structure of this formula in the dataset: 0.00 kcal/mol of atoms
! * total energy: -2.539 eV per atom
! * magnetic moment: 0.00 μB/atom
! * SG: Pm-3m (221)
&SYSTEM
  ibrav = 0, nat = 5, ntyp = 3
/
ATOMIC_SPECIES
H 1.01 H.upf
Au 196.97 Au.upf
Te 127.60 Te.upf
CELL_PARAMETERS angstrom
3.906 0.000 0.000
0.000 3.906 0.000
0.000 0.000 3.906
ATOMIC_POSITIONS crystal
H 0.000 0.500 0.000
H 0.000 0.000 0.500
H 0.500 0.000 0.000
Au 0.000 0.000 0.000
Te 0.500 0.500 0.500


! Zr3Br PBE relaxed; values from VASP
! * excess energy over the best structure of this formula in the dataset: 8.57 kcal/mol of atoms
! * total energy: -6.709 eV per atom
! * magnetic moment: 0.00 μB/atom
! * SG: R-3m (166)
! * formation energy from raw total energies: 0.120 eV per atom
&SYSTEM
  ibrav = 0, nat = 4, ntyp = 2
/
ATOMIC_SPECIES
Br 79.90 Br.upf
Zr 91.22 Zr.upf
CELL_PARAMETERS angstrom
5.721 0.001 0.004
-2.543 5.125 0.004
-2.543 -4.101 3.074
ATOMIC_POSITIONS crystal
Br 0.000 0.000 0.000
Zr 0.000 0.500 0.500
Zr 0.500 0.500 0.000
Zr 0.500 0.000 0.500


! BaPaGe2O8 PBE relaxed; values from VASP
! * total energy: -7.232 eV per atom
! * magnetic moment: 0.00 μB/atom
! * SG: I-4m2 (119)
! * formation energy from raw total energies: -2.206 eV per atom
&SYSTEM
  ibrav = 0, nat = 12, ntyp = 4
/
ATOMIC_SPECIES
O 16.00 O.upf
Ge 72.64 Ge.upf
Ba 137.33 Ba.upf
Pa 231.04 Pa.upf
CELL_PARAMETERS angstrom
-2.198 5.741 0.713
-4.076 -4.053 -2.291
1.602 -2.032 5.621
ATOMIC_POSITIONS crystal
O 0.943 0.607 0.664
O 0.341 0.539 0.198
O 0.721 0.057 0.664
O 0.461 0.659 0.802
O 0.858 0.659 0.198
O 0.393 0.057 0.336
O 0.341 0.142 0.802
O 0.943 0.279 0.336
Ge 0.750 0.250 0.500
Ge 0.500 0.500 0.000
Ba 0.000 0.000 0.000
Pa 0.250 0.750 0.500


! LiTc2Au PBE relaxed; values from VASP
! * excess energy over the best structure of this formula in the dataset: 4.22 kcal/mol of atoms
! * total energy: -6.259 eV per atom
! * magnetic moment: 0.00 μB/atom
! * SG: I-4m2 (119)
! * formation energy from the elements: 21 kJ/mol of atoms
&SYSTEM
  ibrav = 0, nat = 4, ntyp = 3
/
ATOMIC_SPECIES
Tc 98.00 Tc.upf
Au 196.97 Au.upf
Li 6.94 Li.upf
CELL_PARAMETERS angstrom
4.619 -0.012 0.000
1.138 4.476 0.000
-2.878 -2.232 2.840
ATOMIC_POSITIONS crystal
Tc 0.000 0.000 0.000
Tc 0.250 0.750 0.500
Au 0.500 0.500 0.000
Li 0.750 0.250 0.500


! ScGeH2 PBE relaxed; values from VASP
! * excess energy over the best structure of this formula in the dataset: 1.80 kcal/mol of atoms
! * total energy: -4.405 eV per atom
! * magnetic moment: 0.00 μB/atom
! * SG: Fm-3m (225)
&SYSTEM
  ibrav = 0, nat = 4, ntyp = 3
/
ATOMIC_SPECIES
Ge 72.64 Ge.upf
Sc 44.96 Sc.upf
H 1.01 H.upf
CELL_PARAMETERS angstrom
0.000 2.781 2.781
2.781 0.000 2.781
2.781 2.781 0.000
ATOMIC_POSITIONS crystal
Ge 0.500 0.500 0.500
Sc 0.000 0.000 0.000
H 0.250 0.250 0.250
H 0.750 0.750 0.750


! PbSeBr2 PBE relaxed; values from VASP
! * excess energy over the best structure of this formula in the dataset: 8.87 kcal/mol of atoms
! * total energy: -2.714 eV per atom
! * magnetic moment: 0.16 μB/atom
! * SG: Immm (71)
! * formation energy from raw total energies: -0.079 eV per atom
&SYSTEM
  ibrav = 0, nat = 4, ntyp = 3
/
ATOMIC_SPECIES
Se 78.96 Se.upf
Pb 207.20 Pb.upf
Br 79.90 Br.upf
CELL_PARAMETERS angstrom
6.033 -0.001 -0.013
1.658 5.800 0.013
-2.831 -4.244 3.219
ATOMIC_POSITIONS crystal
Se 0.250 0.750 0.500
Pb 0.750 0.250 0.500
Br 0.503 0.503 0.000
Br 0.997 0.997 0.000


! PuAs2Rh5 PBE relaxed; values from VASP
! * total energy: -8.061 eV per atom
! * magnetic moment: 0.57 μB/atom
! * SG: Immm (71)
! * formation energy from the elements: -49 kJ/mol of atoms
&SYSTEM
  ibrav = 0, nat = 8, ntyp = 3
/
ATOMIC_SPECIES
Rh 102.91 Rh.upf
As 74.92 As.upf
Pu 244.00 Pu.upf
CELL_PARAMETERS angstrom
-0.804 3.342 1.864
2.323 -0.404 5.828
5.357 3.232 0.618
ATOMIC_POSITIONS crystal
Rh 0.357 0.841 0.445
Rh 0.643 0.555 0.159
Rh 0.643 0.159 0.555
Rh 0.357 0.445 0.841
Rh 0.000 0.500 0.500
As 0.752 0.748 0.748
As 0.248 0.252 0.252
Pu 0.000 0.000 0.000


! Al7Pb PBE relaxed; values from VASP
! * total energy: -3.520 eV per atom
! * magnetic moment: 0.00 μB/atom
! * SG: Fm-3m (225)
! * formation energy from the elements: 21 kJ/mol of atoms
&SYSTEM
  ibrav = 0, nat = 8, ntyp = 2
/
ATOMIC_SPECIES
Al 26.98 Al.upf
Pb 207.20 Pb.upf
CELL_PARAMETERS angstrom
0.000 4.241 4.241
4.241 0.000 4.241
4.241 4.241 0.000
ATOMIC_POSITIONS crystal
Al 0.000 0.500 0.500
Al 0.500 0.000 0.500
Al 0.500 0.500 0.000
Al 0.000 0.500 0.000
Al 0.500 0.500 0.500
Al 0.000 0.000 0.500
Al 0.500 0.000 0.000
Pb 0.000 0.000 0.000


! Tb2HgS4 PBE relaxed; values from VASP
! * total energy: -5.236 eV per atom
! * magnetic moment: 0.00 μB/atom
! * SG: Fd-3m (227)
! * formation energy from raw total energies: -1.511 eV per atom
&SYSTEM
  ibrav = 0, nat = 28, ntyp = 3
/
ATOMIC_SPECIES
S 32.06 S.upf
Hg 200.59 Hg.upf
Tb 158.93 Tb.upf
CELL_PARAMETERS angstrom
8.038 0.000 0.000
-4.019 6.579 -2.289
0.000 -0.081 13.933
ATOMIC_POSITIONS crystal
S 0.395 0.758 0.621
S 0.895 0.758 0.121
S 0.371 0.242 0.613
S 0.637 0.242 0.879
S 0.863 0.758 0.621
S 0.363 0.758 0.121
S 0.637 0.774 0.879
S 0.871 0.242 0.113
S 0.863 0.226 0.621
S 0.137 0.242 0.379
S 0.137 0.774 0.379
S 0.363 0.226 0.121
S 0.105 0.242 0.879
S 0.129 0.758 0.887
S 0.629 0.758 0.387
S 0.605 0.242 0.379
Hg 0.938 0.375 0.312
Hg 0.563 0.625 0.188
Hg 0.437 0.375 0.812
Hg 0.062 0.625 0.688
Tb 0.500 0.000 0.500
Tb 0.500 0.500 0.500
Tb 0.000 0.000 0.500
Tb 0.250 0.000 0.250
Tb 0.750 0.000 0.750
Tb 0.000 0.500 0.000
Tb 0.500 0.000 0.000
Tb 0.000 0.000 0.000


! InBi2PbAu4 PBE relaxed; values from VASP
! * total energy: -3.479 eV per atom
! * magnetic moment: 0.00 μB/atom
! * SG: Fmm2 (42)
! * formation energy from the elements: -6 kJ/mol of atoms
&SYSTEM
  ibrav = 0, nat = 8, ntyp = 4
/
ATOMIC_SPECIES
Pb 207.20 Pb.upf
In 114.82 In.upf
Bi 208.98 Bi.upf
Au 196.97 Au.upf
CELL_PARAMETERS angstrom
-1.843 -2.085 -5.264
5.714 -1.666 -0.186
-3.345 -3.240 5.245
ATOMIC_POSITIONS crystal
Pb 0.440 0.440 0.000
In 0.941 0.941 0.000
Bi 0.184 0.684 0.500
Bi 0.684 0.184 0.500
Au 0.176 0.176 0.485
Au 0.441 0.940 0.000
Au 0.940 0.441 0.000
Au 0.691 0.691 0.515


! TiIO3 PBE relaxed; values from VASP
! * total energy: -4.669 eV per atom
! * magnetic moment: 0.03 μB/atom
! * SG: Pm-3m (221)
! * formation energy from raw total energies: 0.195 eV per atom
&SYSTEM
  ibrav = 0, nat = 5, ntyp = 3
/
ATOMIC_SPECIES
O 16.00 O.upf
I 126.90 I.upf
Ti 47.87 Ti.upf
CELL_PARAMETERS angstrom
4.193 0.000 0.000
0.000 4.193 0.000
0.000 0.000 4.193
ATOMIC_POSITIONS crystal
O 0.000 0.500 0.000
O 0.000 0.000 0.500
O 0.500 0.000 0.000
I 0.000 0.000 0.000
Ti 0.500 0.500 0.500


! NaCuI2Br6 PBE relaxed; values from VASP
! * total energy: -2.214 eV per atom
! * magnetic moment: 0.00 μB/atom
! * SG: P1 (1)
! * formation energy from raw total energies: -0.359 eV per atom
&SYSTEM
  ibrav = 0, nat = 10, ntyp = 4
/
ATOMIC_SPECIES
I 126.90 I.upf
Br 79.90 Br.upf
Cu 63.55 Cu.upf
Na 22.99 Na.upf
CELL_PARAMETERS angstrom
0.070 -0.053 -6.586
5.373 -6.054 4.645
-6.930 -2.595 4.271
ATOMIC_POSITIONS crystal
I 0.576 0.667 0.224
I 0.420 0.328 0.739
Br 0.497 0.149 0.154
Br 0.926 0.080 0.701
Br 0.069 0.918 0.262
Br 0.134 0.419 0.216
Br 0.497 0.843 0.805
Br 0.864 0.576 0.748
Cu 0.997 0.997 0.980
Na 0.986 0.500 0.472